Here is crystalline Be2TlSe at its relaxed geometry from Alexandria via LeMat-Bulk. Energies are from PBE.

a b c (Å): 3.404 3.404 8.048
angles (deg): 90.00 90.00 112.44
Positions (direct):
Be 0.000 0.000 0.086
Be 0.500 0.500 0.223
Tl 0.500 0.500 0.833
Se 0.000 0.000 0.358

Summary:
Formation energy (no corrections) (eV per atom): 0.2393
Energy above the most stable polymorph in this dataset (meV per atom): 198.6
Total magnetization (μB per cell): 0.00